1.
GGA-PBEsol TcPt3, relaxed; space group = R-3m (166); E_form = -0.108 eV/atom
1.0
-1.2112 -2.1256 -1.2400
1.5087 -1.8112 -1.4023
1.1140 -6.2411 6.5770
Pt Tc
3 1
direct
0.7468 0.7468 0.7596 Pt
0.2532 0.2532 0.2404 Pt
0.5000 0.5000 0.5000 Pt
0.0000 0.0000 0.0000 Tc

---

2.
GGA-PBEsol TcPt3, relaxed; space group = I4/mmm (139); E_form = -0.122 eV/atom
1.0
-3.3426 -1.7668 0.7396
1.9122 -2.9933 1.4917
0.6035 4.0753 2.4293
Pt Tc
3 1
direct
0.7500 0.2500 0.5000 Pt
0.5000 0.5000 0.0000 Pt
0.2500 0.7500 0.5000 Pt
0.0000 0.0000 0.0000 Tc

---

3.
GGA-PBEsol TcPt, relaxed; space group = Pmma (51); polymorph energy (0 for the lowest one) = 1 meV/atom; E_form = -0.168 eV/atom
1.0
2.7148 0.0000 0.0000
0.0000 4.3874 0.0000
0.0000 0.0000 4.8018
Pt Tc
2 2
direct
0.0000 0.2500 0.3369 Pt
0.0000 0.7500 0.6631 Pt
0.5000 0.2500 0.8451 Tc
0.5000 0.7500 0.1549 Tc

---

4.
GGA-PBEsol TcPt2, relaxed; space group = I4_1/amd (141); polymorph energy (0 for the lowest one) = 89 meV/atom; E_form = -0.114 eV/atom
1.0
3.8779 0.0000 0.0000
0.0000 3.8779 0.0000
-1.9389 -1.9389 11.6383
Pt Tc
8 4
direct
0.8344 0.3344 0.6688 Pt
0.9984 0.4984 0.9967 Pt
0.6656 0.1656 0.3312 Pt
0.5016 0.0016 0.0033 Pt
0.5844 0.5844 0.1688 Pt
0.7484 0.7484 0.4967 Pt
0.4156 0.4156 0.8312 Pt
0.2516 0.2516 0.5033 Pt
0.1613 0.6613 0.3226 Tc
0.9113 0.9113 0.8226 Tc
0.3387 0.8387 0.6774 Tc
0.0887 0.0887 0.1774 Tc

---

5.
GGA-PBEsol Tc3Pt, relaxed; space group = P6_3/mmc (194); polymorph energy (0 for the lowest one) = 45 meV/atom; E_form = -0.200 eV/atom
1.0
-0.1346 -2.6310 -4.7638
3.7960 -1.2531 3.6952
-5.3600 -6.0070 3.4691
Tc Pt
12 4
direct
0.8275 0.6550 0.2500 Tc
0.5000 0.5000 0.0000 Tc
0.3450 0.1725 0.2500 Tc
0.0000 0.5000 0.0000 Tc
0.6550 0.8275 0.7500 Tc
0.5000 0.0000 0.0000 Tc
0.5000 0.0000 0.5000 Tc
0.1725 0.8275 0.7500 Tc
0.1725 0.3450 0.7500 Tc
0.8275 0.1725 0.2500 Tc
0.0000 0.5000 0.5000 Tc
0.5000 0.5000 0.5000 Tc
0.3333 0.6667 0.2500 Pt
0.6667 0.3333 0.7500 Pt
0.0000 0.0000 0.0000 Pt
0.0000 0.0000 0.5000 Pt

---

6.
GGA-PBEsol TcPt2, relaxed; space group = C2/m (12); polymorph energy (0 for the lowest one) = 92 meV/atom; E_form = -0.111 eV/atom
1.0
2.7379 0.0000 0.0000
-1.3689 5.0333 -0.0049
0.0000 -1.7482 6.3470
Pt Tc
4 2
direct
0.9744 0.9488 0.6870 Pt
0.6430 0.2861 0.0377 Pt
0.3570 0.7139 0.9623 Pt
0.0256 0.0512 0.3130 Pt
0.2986 0.5972 0.3654 Tc
0.7014 0.4028 0.6346 Tc

---

7.
GGA-PBEsol Tc2Pt, relaxed; space group = Fd-3m (227); polymorph energy (0 for the lowest one) = 508 meV/atom; E_form = 0.315 eV/atom
1.0
5.0142 0.0000 0.0000
2.5071 4.3424 0.0000
2.5071 1.4475 4.0941
Pt Tc
2 4
direct
0.2500 0.2500 0.2500 Pt
0.0000 0.0000 0.0000 Pt
0.1250 0.6250 0.6250 Tc
0.6250 0.6250 0.6250 Tc
0.6250 0.6250 0.1250 Tc
0.6250 0.1250 0.6250 Tc

---

8.
GGA-PBEsol TcPt, relaxed; space group = P6_3mc (186); polymorph energy (0 for the lowest one) = 1327 meV/atom; E_form = 1.158 eV/atom
1.0
3.9324 0.0000 0.0000
-1.9662 3.4056 0.0000
0.0000 0.0000 6.3288
Pt Tc
2 2
direct
0.3333 0.6667 0.5048 Pt
0.6667 0.3333 0.0048 Pt
0.3333 0.6667 0.1242 Tc
0.6667 0.3333 0.6242 Tc

---

9.
GGA-PBEsol Tc3Pt, relaxed; space group = Pmmn (59); polymorph energy (0 for the lowest one) = 0 meV/atom; E_form = -0.245 eV/atom
1.0
-2.1098 -3.6728 0.9220
4.1181 -2.1160 0.9943
-0.4536 1.5719 5.2235
Tc Pt
6 2
direct
0.0000 0.6796 0.5000 Tc
0.5000 0.8362 0.2546 Tc
0.0000 0.1638 0.7546 Tc
0.5000 0.8362 0.7454 Tc
0.0000 0.1638 0.2454 Tc
0.5000 0.3204 0.0000 Tc
0.5000 0.3334 0.5000 Pt
0.0000 0.6666 0.0000 Pt

---

10.
GGA-PBEsol TcPt2, relaxed; space group = Pnma (62); polymorph energy (0 for the lowest one) = 44 meV/atom; E_form = -0.158 eV/atom
1.0
-3.4186 -1.5825 0.6437
0.4984 -2.9579 -4.6249
3.6361 -6.1068 4.2974
Pt Tc
8 4
direct
0.7500 0.3751 0.7464 Pt
0.2500 0.1262 0.5839 Pt
0.2500 0.6262 0.9161 Pt
0.7500 0.8738 0.4161 Pt
0.2500 0.6249 0.2536 Pt
0.7500 0.3738 0.0839 Pt
0.2500 0.1249 0.2464 Pt
0.7500 0.8751 0.7536 Pt
0.7500 0.3893 0.4303 Tc
0.2500 0.6107 0.5697 Tc
0.2500 0.1107 0.9303 Tc
0.7500 0.8893 0.0697 Tc

---

11.
GGA-PBEsol TcPt2, relaxed; space group = I4/mmm (139); polymorph energy (0 for the lowest one) = 0 meV/atom; E_form = -0.203 eV/atom
1.0
-1.4480 0.1085 2.2989
-2.2180 -0.7904 -1.3598
3.1644 -5.2958 0.6351
Pt Tc
2 1
direct
0.6592 0.6592 0.3184 Pt
0.3408 0.3408 0.6816 Pt
0.0000 0.0000 0.0000 Tc

---

12.
GGA-PBEsol TcPt, relaxed; space group = Cm (8); polymorph energy (0 for the lowest one) = 14 meV/atom; E_form = -0.155 eV/atom
1.0
2.7280 0.0000 0.0000
-1.3640 4.9896 0.0002
0.0000 -1.6433 6.3148
Pt Tc
3 3
direct
0.0059 0.0118 0.0050 Pt
0.3856 0.7712 0.2775 Pt
0.3318 0.6635 0.6633 Pt
0.7175 0.4350 0.9386 Tc
0.0615 0.1230 0.6129 Tc
0.6644 0.3288 0.3360 Tc

---

13.
GGA-PBEsol TcTe4Pt, relaxed; space group = F-43m (216); E_form (uncorrected) = 1.38 eV/atom
1.0
5.9828 0.0000 0.0000
2.9914 5.1812 0.0000
2.9914 1.7271 4.8849
Te Tc Pt
4 1 1
direct
0.3755 0.8734 0.3755 Te
0.3755 0.3755 0.8734 Te
0.3755 0.3755 0.3755 Te
0.8734 0.3755 0.3755 Te
0.0000 0.0000 0.0000 Tc
0.7500 0.7500 0.7500 Pt

---

14.
GGA-PBEsol TcTePt2, relaxed; space group = F-43m (216); E_form (uncorrected) = 0.22 eV/atom
1.0
-2.4762 -2.1912 3.0758
1.6537 -3.6837 2.0222
1.1663 0.1490 4.3602
Tc Pt Te
1 2 1
direct
0.5000 0.5000 0.5000 Tc
0.0000 0.0000 0.0000 Pt
0.7500 0.7500 0.7500 Pt
0.2500 0.2500 0.2500 Te

---

15.
GGA-PBEsol Tl2TcPt, relaxed; space group = F-43m (216); polymorph energy (0 for the lowest one) = 326 meV/atom; E_form = 0.707 eV/atom
1.0
4.7589 0.0000 0.0000
2.3795 4.1213 0.0000
2.3795 1.3738 3.8856
Tc Pt Tl
1 1 2
direct
0.2500 0.2500 0.2500 Tc
0.5000 0.5000 0.5000 Pt
0.7500 0.7500 0.7500 Tl
0.0000 0.0000 0.0000 Tl

---

16.
GGA-PBEsol Tl2TcPt, relaxed; space group = Pmm2 (25); polymorph energy (0 for the lowest one) = 0 meV/atom; E_form = 0.381 eV/atom
1.0
2.8799 0.0000 0.0000
0.0000 3.5945 0.0000
0.0000 0.0000 7.9490
Tl Pt Tc
2 1 1
direct
0.5000 0.5000 0.2889 Tl
0.0000 0.0000 0.9552 Tl
0.0000 0.0000 0.5546 Pt
0.5000 0.5000 0.7014 Tc

---

17.
GGA-PBEsol Tl2TcPt, relaxed; space group = R3m (160); polymorph energy (0 for the lowest one) = 66 meV/atom; E_form = 0.447 eV/atom
1.0
-0.5157 2.9663 0.4074
-2.4379 1.3050 -1.2587
-6.1027 -0.5468 7.5861
Tl Pt Tc
2 1 1
direct
0.7578 0.7578 0.7267 Tl
0.9910 0.9910 0.0269 Tl
0.5085 0.5085 0.4746 Pt
0.2427 0.2427 0.2718 Tc

---

18.
GGA-PBEsol TcPtW, relaxed; space group = I4mm (107); E_form = -0.055 eV/atom
1.0
-2.7299 0.0273 -0.2050
-0.1907 -1.3834 2.3547
1.2867 5.7946 1.9171
Tc Pt W
1 1 1
direct
0.6689 0.6689 0.3379 Tc
0.0005 0.0005 0.0009 Pt
0.3306 0.3306 0.6612 W

---

19.
GGA-PBEsol YTc2Pt, relaxed; space group = Pm (6); polymorph energy (0 for the lowest one) = 75 meV/atom; E_form = -0.095 eV/atom
1.0
-0.1054 2.8015 -0.7389
-3.8738 0.3871 2.0199
2.5165 0.3048 4.7677
Tc Pt Y
2 1 1
direct
0.1040 0.0000 0.0483 Tc
0.7814 0.5000 0.1778 Tc
0.0940 0.5000 0.7395 Pt
0.5206 0.0000 0.5343 Y

---

20.
GGA-PBEsol YTc2Pt, relaxed; space group = C2/m (12); polymorph energy (0 for the lowest one) = 285 meV/atom; E_form = 0.115 eV/atom
1.0
2.7485 -0.0191 0.0000
-0.7566 5.0443 0.0000
-0.9960 -2.5126 4.7333
Y Tc Pt
1 2 1
direct
0.5000 0.0000 0.0000 Y
0.5000 0.5000 0.5000 Tc
0.0000 0.0000 0.5000 Tc
0.0000 0.5000 0.0000 Pt

---

Across the entries above, total magnetization takes the values 0.0 0.0 0.0 0.0 0.0 0.0 0.0 0.0 0.0 0.0 0.0 0.0 4.1 0.0 2.5 0.0 0.0 0.0 0.0 0.0 μB/f.u., respectively.
Across the entries above, ρ takes the values 19.36 19.45 17.02 18.53 14.44 18.54 14.57 11.48 14.46 18.53 18.60 16.99 8.81 15.70 15.29 14.16 15.20 17.82 11.82 12.16 Mg/m³, respectively.